No. 1
{"formula": "BaNiBr2", "functional": "PBE", "state": "relaxed", "lattice": [[3.6091, -3.6132, 0.0000], [3.6091, 3.6132, 0.0000], [0.0000, 0.0000, 4.1852]], "species": ["Ba", "Ni", "Br", "Br"], "frac_coords": [[0.0000, 0.0000, 0.0000], [0.5000, 0.5000, 0.0000], [0.0000, 0.5000, 0.5000], [0.5000, 0.0000, 0.5000]], "volume_a3_per_cell": 109.15, "m_tot_mub_per_atom": 0.157, "e_form_raw_ev_per_atom": -0.647, "spacegroup": "Cmmm"}

=====

No. 2
{"formula": "Ho4Tl2GaHg", "functional": "PBE", "state": "relaxed", "lattice": [[2.6285, 1.5176, 8.5287], [-2.6285, 1.5176, 8.5287], [0.0000, -3.0351, 8.5287]], "species": ["Ho", "Ho", "Ho", "Ho", "Tl", "Tl", "Ga", "Hg"], "frac_coords": [[0.1216, 0.1216, 0.1216], [0.3723, 0.3723, 0.3723], [0.6277, 0.6277, 0.6277], [0.8784, 0.8784, 0.8784], [0.2467, 0.2467, 0.2467], [0.7533, 0.7533, 0.7533], [0.0000, 0.0000, 0.0000], [0.5000, 0.5000, 0.5000]], "volume_a3_per_cell": 204.12, "delta_e_f_ev_per_atom": -0.409, "m_tot_mub_per_atom": 0.000, "spacegroup": "R-3m"}

=====

No. 3
{"formula": "Pu2CuSi4Rh3", "functional": "PBE", "state": "relaxed", "lattice": [[4.1365, 0.0000, 0.0000], [0.0000, 4.1365, 0.0000], [0.0000, 0.0000, 9.8406]], "species": ["Pu", "Pu", "Cu", "Si", "Si", "Si", "Si", "Rh", "Rh", "Rh"], "frac_coords": [[0.0000, 0.5000, 0.2484], [0.5000, 0.0000, 0.7516], [0.0000, 0.0000, 0.5000], [0.0000, 0.0000, 0.0000], [0.0000, 0.5000, 0.6307], [0.5000, 0.0000, 0.3693], [0.5000, 0.5000, 0.0000], [0.0000, 0.5000, 0.8735], [0.5000, 0.0000, 0.1265], [0.5000, 0.5000, 0.5000]], "volume_a3_per_cell": 168.38, "m_tot_mub_per_atom": 1.038, "e_form_raw_ev_per_atom": -0.699, "spacegroup": "P-4m2"}